# Ti7Ga4Sn PBE-GGA optimized geometry
# Energy relative to the elements   -0.0652 eV/atom
# V   18.11 Å³/atom
data_Ti7Ga4Sn
_cell_length_a 10.3078
_cell_length_b 5.0440
_cell_length_c 9.7375
_cell_angle_alpha 90.00
_cell_angle_beta 120.88
_cell_angle_gamma 90.00
_space_group_name_H-M_alt 'C 1 2/m 1'
_space_group_IT_number 12
_space_group_name_Hall '-C 2y'
loop_
_atom_site_label
_atom_site_type_symbol
_atom_site_fract_x
_atom_site_fract_y
_atom_site_fract_z
Ti1 Ti 0.0000 0.0000 0.0000
Ti2 Ti 0.0313 0.5000 0.3709
Ti3 Ti 0.1521 0.0000 0.5621
Ti4 Ti 0.2130 0.5000 0.9019
Ga1 Ga 0.0728 0.0000 0.7737
Ga2 Ga 0.2213 0.0000 0.3293
Sn1 Sn 0.0000 0.5000 0.0000